# 1
# KSc2Os

A relaxed KSc2Os crystal (GGA-PBE, Alexandria).

Values from the calculation:
V   120.36 Å³/cell
Spin magnetization   0.00 μB/f.u.
Total energy   -6.03 eV/atom
Formation enthalpy at 0 K   0.216 eV per atom
DOS at the Fermi energy   3.4 states/eV per cell

a = 8.9234 Å, b = 8.9234 Å, c = 8.9234 Å
α = 158.96°, β = 151.81°, γ = 35.44°
Closest atoms and distances in Å follow each position.
Sites, in units of the cell vectors:
K  0.0000  0.0000  0.0000  2 K 3.26, 2 Os 3.63
Sc  0.3080  0.3080  0.0000  2 Os 2.58
Sc  0.6748  0.1748  0.5000  4 Os 2.73
Os  0.1906  0.6906  0.5000  6 Sc 2.58-2.73

# 2
# AgPt2Br8

A relaxed AgPt2Br8 crystal (GGA-PBE, Alexandria).

Values from the calculation:
Formation energy from raw total energies   -0.041 eV/atom
V   377.46 Å³/cell
Spin magnetization   0.00 μB/f.u.
Total energy   -2.62 eV/atom
DOS at the Fermi energy   4.6 states/eV per cell

a = 8.1190 Å, b = 8.1190 Å, c = 7.7954 Å
α = 118.36°, β = 118.36°, γ = 61.91°
Closest atoms and distances in Å follow each position.
Sites, in units of the cell vectors:
Ag  0.0000  0.0000  0.0000  6 Br 2.61-2.89
Pt  0.1151  0.1151  0.6316  4 Br 2.44-2.66, 1 Pt 2.68
Pt  0.8849  0.8849  0.3684  4 Br 2.44-2.66, 1 Pt 2.68
Br  0.1045  0.6950  0.1604  1 Pt 2.44
Br  0.1744  0.1744  0.3844  1 Pt 2.48, 1 Ag 2.61
Br  0.3050  0.8955  0.8396  1 Pt 2.44
Br  0.3429  0.3429  0.8922  1 Pt 2.66
Br  0.6571  0.6571  0.1078  1 Pt 2.66
Br  0.6950  0.1045  0.1604  1 Pt 2.44
Br  0.8256  0.8256  0.6156  1 Pt 2.48, 1 Ag 2.61
Br  0.8955  0.3050  0.8396  1 Pt 2.44

# 3
# Fe2PtCl

A relaxed Fe2PtCl crystal (GGA-PBE, Alexandria).

Values from the calculation:
Formation energy from raw total energies   0.068 eV/atom
V   75.10 Å³/cell
Spin magnetization   6.68 μB/f.u.
Total energy   -6.14 eV/atom
DOS at the Fermi energy   3.6 states/eV per cell

a = 4.6020 Å, b = 4.6020 Å, c = 7.3836 Å
α = 124.02°, β = 124.02°, γ = 36.46°
Closest atoms and distances in Å follow each position.
Sites, in units of the cell vectors:
Fe  0.1417  0.1417  0.3386  2 Fe 2.45, 2 Cl 2.49, 3 Pt 2.60-2.61
Fe  0.8583  0.8583  0.6614  2 Fe 2.45, 2 Cl 2.49, 3 Pt 2.60-2.61
Pt  0.5000  0.5000  0.5000  6 Fe 2.60-2.61, 2 Pt 2.88
Cl  0.5000  0.5000  0.0000  4 Fe 2.49

# 4
# CoNi4Rh3

A relaxed CoNi4Rh3 crystal (GGA-PBE, Alexandria).

Values from the calculation:
V   99.06 Å³/cell
Spin magnetization   6.82 μB/f.u.
Total energy   -6.50 eV/atom
Formation enthalpy at 0 K   0.036 eV per atom
DOS at the Fermi energy   11.2 states/eV per cell

a = 7.8372 Å, b = 7.8372 Å, c = 7.8372 Å
α = 153.22°, β = 152.78°, γ = 38.56°
Closest atoms and distances in Å follow each position.
Sites, in units of the cell vectors:
Co  0.0000  0.0000  0.0000  8 Rh 2.59-2.63, 4 Ni 2.62
Ni  0.2502  0.2502  0.0000  4 Rh 2.55-2.57, 8 Ni 2.58-2.60
Ni  0.3741  0.8741  0.5000  4 Ni 2.58-2.60, 6 Rh 2.59-2.60, 2 Co 2.62
Ni  0.6259  0.1259  0.5000  4 Ni 2.58-2.60, 6 Rh 2.59-2.60, 2 Co 2.62
Ni  0.7498  0.7498  0.0000  4 Rh 2.55-2.57, 8 Ni 2.58-2.60
Rh  0.1290  0.6290  0.5000  8 Ni 2.55-2.59, 2 Co 2.63, 2 Rh 2.65
Rh  0.5000  0.5000  0.0000  4 Co 2.59, 4 Ni 2.60, 4 Rh 2.65
Rh  0.8710  0.3710  0.5000  8 Ni 2.55-2.59, 2 Co 2.63, 2 Rh 2.65

# 5
# CaIn5Ga

A relaxed CaIn5Ga crystal (GGA-PBE, Alexandria).

Values from the calculation:
V   186.25 Å³/cell
Spin magnetization   0.00 μB/f.u.
Total energy   -2.82 eV/atom
Formation enthalpy at 0 K   -0.146 eV per atom
DOS at the Fermi energy   1.9 states/eV per cell

a = 4.7914 Å, b = 4.7914 Å, c = 8.1131 Å
α = 90.00°, β = 90.00°, γ = 90.00°
Closest atoms and distances in Å follow each position.
Sites, in units of the cell vectors:
Ca  0.0000  0.0000  0.0000  12 In 3.35-3.39
In  0.0000  0.5000  0.2893  2 Ga 2.94
In  0.0000  0.5000  0.7107  2 Ga 2.94
In  0.5000  0.0000  0.2893  2 Ga 2.94
In  0.5000  0.0000  0.7107  2 Ga 2.94
In  0.5000  0.5000  0.0000  8 In 3.35, 4 Ca 3.39
Ga  0.0000  0.0000  0.5000  8 In 2.94

# 6
# SmHo2Sc5

A relaxed SmHo2Sc5 crystal (GGA-PBE, Alexandria).

Values from the calculation:
V   218.29 Å³/cell
Spin magnetization   0.01 μB/f.u.
Total energy   -5.67 eV/atom
Formation enthalpy at 0 K   0.026 eV per atom
DOS at the Fermi energy   14.7 states/eV per cell

a = 8.0036 Å, b = 6.8594 Å, c = 6.3623 Å
α = 74.40°, β = 55.64°, γ = 49.96°
Closest atoms and distances in Å follow each position.
Sites, in units of the cell vectors:
Sm  0.0000  0.0000  0.0000  10 Sc 3.34-3.46, 2 Ho 3.40
Ho  0.4248  0.9137  0.0863  9 Sc 3.30-3.47, 1 Sm 3.40, 2 Ho 3.43
Ho  0.9137  0.4248  0.5752  9 Sc 3.30-3.47, 1 Sm 3.40, 2 Ho 3.43
Sc  0.0059  0.5020  0.9941  4 Ho 3.30-3.38, 6 Sc 3.30-3.50, 2 Sm 3.40-3.46
Sc  0.4156  0.4156  0.0844  6 Sc 3.30-3.43, 2 Sm 3.34, 4 Ho 3.39-3.47
Sc  0.4982  0.4982  0.5018  2 Ho 3.32, 8 Sc 3.33-3.50, 2 Sm 3.43
Sc  0.5020  0.0059  0.4980  4 Ho 3.30-3.38, 6 Sc 3.30-3.50, 2 Sm 3.40-3.46
Sc  0.9156  0.9156  0.5844  6 Sc 3.30-3.43, 2 Sm 3.34, 4 Ho 3.39-3.47